Here is a relaxed structure of CsTi3H from Alexandria via LeMat-Bulk. Energies are from PBE.

extended XYZ file:
```
5
Lattice="5.017 0.000 0.000 0.000 5.017 0.000 0.000 0.000 5.017" Properties=species:S:1:pos:R:3 pbc="T T T"
Cs 0.000 0.000 0.000
Ti 0.000 0.000 2.509
Ti 0.000 2.509 0.000
Ti 2.509 0.000 0.000
H 2.509 2.509 2.509
```

Output
Space group   Pm-3m (221)
ΔE to the lowest computed polymorph   166.7 kJ per mole of atoms
Crystal system   cubic

Here is a relaxed structure of AlOsC2 from Alexandria via LeMat-Bulk. Energies are from PBE.

extended XYZ file:
```
8
Lattice="-2.323 2.323 4.631 2.323 -2.323 4.631 2.323 2.323 -4.631" Properties=species:S:1:pos:R:3 pbc="T T T"
Al 0.000 0.000 0.000
Al 0.000 2.323 2.316
Os 2.323 0.000 2.316
Os 0.000 0.000 4.631
C 1.161 -1.085 3.473
C 1.238 1.161 1.158
C 1.161 3.408 -1.158
C 1.085 1.161 5.789
```

Output
Space group   I-42d (122)
Crystal system   tetragonal
Uncorrected energy   -0.574 Ry per atom

Here is a relaxed structure of KCd2Si2 from Alexandria via LeMat-Bulk. Energies are from PBE.

extended XYZ file:
```
5
Lattice="-2.191 2.191 6.270 2.191 -2.191 6.270 2.191 2.191 -6.270" Properties=species:S:1:pos:R:3 pbc="T T T"
K 0.000 0.000 0.000
Cd 0.000 0.000 4.839
Cd 0.000 0.000 7.702
Si 2.191 0.000 3.135
Si 0.000 2.191 3.135
```

Output
Space group   I4/mmm (139)
ΔE to the lowest computed polymorph   18.3 kJ per mole of atoms
Crystal system   tetragonal
Energy relative to the elements, uncorrected   0.2209 eV per atom

Here is a relaxed structure of KZn4Au2 from Alexandria via LeMat-Bulk. Energies are from PBE.

extended XYZ file:
```
7
Lattice="2.263 -7.099 0.000 2.263 7.099 0.000 0.000 0.000 4.537" Properties=species:S:1:pos:R:3 pbc="T T T"
K 0.000 0.000 0.000
Zn 2.263 4.315 2.269
Zn 2.263 2.785 0.000
Zn 2.263 -2.785 0.000
Zn 2.263 -4.315 2.269
Au 2.263 1.406 2.269
Au 2.263 -1.406 2.269
```

Output
Space group   Cmmm (65)
ΔE to the lowest computed polymorph   7.9 kJ per mole of atoms
Crystal system   orthorhombic

Here is a relaxed structure of PmNdTm5Sc2 from Alexandria via LeMat-Bulk. Energies are from PBE.

extended XYZ file:
```
18
Lattice="2.780 -10.669 0.000 2.780 10.669 0.000 0.000 0.000 9.295" Properties=species:S:1:pos:R:3 pbc="T T T"
Pm 2.780 8.626 4.648
Pm 2.780 -8.626 0.000
Nd 2.780 4.019 0.969
Nd 2.780 -4.019 5.616
Tm 2.780 9.998 7.741
Tm 2.780 8.358 1.188
Tm 2.780 6.596 7.494
Tm 2.780 5.648 3.912
Tm 2.780 0.134 1.021
Tm 2.780 -0.134 5.669
Tm 2.780 -5.648 8.560
Tm 2.780 -6.596 2.846
Tm 2.780 -8.358 5.836
Tm 2.780 -9.998 3.093
Sc 2.780 3.094 7.202
Sc 2.780 2.405 3.805
Sc 2.780 -2.405 8.453
Sc 2.780 -3.094 2.555
```

Output
Space group   Cmc2_1 (36)
Crystal system   orthorhombic
Uncorrected energy   -0.351 Ry per atom

Here is a relaxed structure of CaPr15Tm4 from Alexandria via LeMat-Bulk. Energies are from PBE.

extended XYZ file:
```
20
Lattice="5.199 0.000 0.000 0.000 5.199 0.000 0.000 0.000 25.930" Properties=species:S:1:pos:R:3 pbc="T T T"
Ca 0.000 0.000 0.000
Pr 0.000 2.599 2.702
Pr 0.000 2.599 7.823
Pr 0.000 2.599 12.965
Pr 0.000 2.599 18.108
Pr 0.000 2.599 23.228
Pr 2.599 0.000 2.702
Pr 2.599 0.000 7.823
Pr 2.599 0.000 12.965
Pr 2.599 0.000 18.108
Pr 2.599 0.000 23.228
Pr 2.599 2.599 0.000
Pr 2.599 2.599 5.237
Pr 2.599 2.599 10.385
Pr 2.599 2.599 15.546
Pr 2.599 2.599 20.693
Tm 0.000 0.000 5.233
Tm 0.000 0.000 10.394
Tm 0.000 0.000 15.536
Tm 0.000 0.000 20.697
```

Output
Space group   P4/mmm (123)
Crystal system   tetragonal
Uncorrected energy   -0.335 Ry per atom

Here is a relaxed structure of Pm8Sm3Dy2 from Alexandria via LeMat-Bulk. Energies are from PBE.

extended XYZ file:
```
13
Lattice="5.143 -3.580 0.000 5.143 3.580 0.000 -2.864 0.000 12.019" Properties=species:S:1:pos:R:3 pbc="T T T"
Pm 2.236 1.907 8.468
Pm -0.156 0.000 10.339
Pm 2.732 0.000 2.018
Pm 5.186 1.907 3.551
Pm 2.236 -1.907 8.468
Pm 4.690 0.000 10.001
Pm 7.578 0.000 1.679
Pm 5.186 -1.907 3.551
Sm 5.143 1.851 0.000
Sm 3.711 0.000 6.009
Sm 5.143 -1.851 0.000
Dy -0.037 0.000 6.757
Dy 7.459 0.000 5.261
```

Output
Space group   C2/m (12)
ΔE to the lowest computed polymorph   0.0 kJ per mole of atoms
Crystal system   monoclinic

Here is a relaxed structure of Ce3PuCo from Alexandria via LeMat-Bulk. Energies are from PBE.

extended XYZ file:
```
10
Lattice="6.332 -2.276 0.000 6.332 2.276 0.000 -0.730 0.000 8.241" Properties=species:S:1:pos:R:3 pbc="T T T"
Ce 0.784 0.000 3.311
Ce 3.746 0.000 7.219
Ce 4.296 0.000 2.357
Ce 7.639 0.000 5.884
Ce 8.189 0.000 1.022
Ce 11.151 0.000 4.930
Pu 0.159 0.000 7.011
Pu 11.775 0.000 1.230
Co 2.894 0.000 5.045
Co 9.041 0.000 3.195
```

Output
Space group   C2/m (12)
Crystal system   monoclinic
Uncorrected energy   -0.578 Ry per atom

Looking at total moment for the records above, in order, we have 3.021 0.000 0.000 0.000 0.000 0.000 0.000 12.788 μB/cell.